This record from Alexandria describes a relaxed structure of BaTeAu. The functional is PBE-GGA.

The total magnetization comes out at 0.00 μB per formula unit. For the density, the calculation gives 7.85 g/cm³. The distance to the lowest polymorph of the same formula is 0.054 eV/atom. The formation energy (no corrections) comes out at -852 meV per atom.

abc: 8.6178 8.6178 9.1175
angles: 90.00 90.00 120.00
Last column: nearest neighbours and their distance in Å.
Fractional positions:
Ba (0.6048, 0.0000, 0.2500)  5 Te 3.41-3.49, 4 Au 3.75
Ba (0.0000, 0.6048, 0.7500)  5 Te 3.41-3.49, 4 Au 3.75
Ba (0.3952, 0.3952, 0.2500)  5 Te 3.41-3.49, 4 Au 3.75
Ba (0.3952, 0.3952, 0.7500)  5 Te 3.41-3.49, 4 Au 3.75
Ba (0.6048, 0.0000, 0.7500)  5 Te 3.41-3.49, 4 Au 3.75
Ba (0.0000, 0.6048, 0.2500)  5 Te 3.41-3.49, 4 Au 3.75
Au (0.7584, 0.7584, 0.0000)  4 Te 3.09-3.34
Au (0.2416, 0.0000, 0.0000)  4 Te 3.09-3.34
Au (0.0000, 0.2416, 0.5000)  4 Te 3.09-3.34
Au (0.2416, 0.0000, 0.5000)  4 Te 3.09-3.34
Au (0.0000, 0.2416, 0.0000)  4 Te 3.09-3.34
Au (0.7584, 0.7584, 0.5000)  4 Te 3.09-3.34
Te (0.3333, 0.6667, 0.5000)  3 Au 3.34, 6 Ba 3.49
Te (0.0000, 0.0000, 0.2500)  6 Au 3.09, 3 Ba 3.41
Te (0.6667, 0.3333, 0.0000)  3 Au 3.34, 6 Ba 3.49
Te (0.3333, 0.6667, 0.0000)  3 Au 3.34, 6 Ba 3.49
Te (0.6667, 0.3333, 0.5000)  3 Au 3.34, 6 Ba 3.49
Te (0.0000, 0.0000, 0.7500)  6 Au 3.09, 3 Ba 3.41

This record from Alexandria describes a relaxed structure of BeGaP2. The functional is PBE-GGA.

The total magnetization comes out at 0.00 μB per formula unit. For the density, the calculation gives 4.13 g/cm³. The distance to the lowest polymorph of the same formula is 0.722 eV/atom. For the formation energy, the calculation gives 0.548 eV per atom.

abc: 4.3103 4.3103 4.3103
angles: 60.00 60.00 60.00
Last column: nearest neighbours and their distance in Å.
Fractional positions:
Be (0.0000, 0.0000, 0.0000)  8 P 2.64
P (0.2500, 0.2500, 0.2500)  4 Ga 2.64, 4 Be 2.64
P (0.7500, 0.7500, 0.7500)  4 Be 2.64, 4 Ga 2.64
Ga (0.5000, 0.5000, 0.5000)  8 P 2.64